Entry 1:
# ErTaClO4

ErTaClO4 after structural relaxation (PBE, the Alexandria database).

Lattice parameters (Å, degrees): 6.7892 6.7892 6.9944 77.43 77.43 59.49
Last column: nearest neighbours and their distance in Å.
Element x y z (fractional)
Er (0.2862, 0.2862, 0.8563)  4 O 2.15-2.25
Er (0.7138, 0.7138, 0.1437)  4 O 2.15-2.25
Ta (0.6379, 0.6379, 0.7259)  4 O 1.84-1.88
Ta (0.3621, 0.3621, 0.2741)  4 O 1.84-1.88
Cl (0.0221, 0.0221, 0.1284)  1 Cl 1.99
Cl (0.9779, 0.9779, 0.8716)  1 Cl 1.99
O (0.2946, 0.2946, 0.5417)  1 Ta 1.84
O (0.7054, 0.7054, 0.4583)  1 Ta 1.84
O (0.0987, 0.5096, 0.1423)  1 Ta 1.88
O (0.5253, 0.5253, 0.2200)  1 Ta 1.87
O (0.4904, 0.9013, 0.8577)  1 Ta 1.88
O (0.5096, 0.0987, 0.1423)  1 Ta 1.88
O (0.4747, 0.4747, 0.7800)  1 Ta 1.87
O (0.9013, 0.4904, 0.8577)  1 Ta 1.88

Calculated values
Energy relative to the elements, uncorrected, eV per atom: -2.64

***

Entry 2:
# B2IN

B2IN after structural relaxation (PBE, the Alexandria database).

Lattice parameters (Å, degrees): 4.0863 4.0863 4.0863 60.00 60.00 60.00
Last column: nearest neighbours and their distance in Å.
Element x y z (fractional)
I (0.5000, 0.5000, 0.5000)  8 B 2.50
B (0.2500, 0.2500, 0.2500)  4 I 2.50, 4 N 2.50
B (0.7500, 0.7500, 0.7500)  4 I 2.50, 4 N 2.50
N (0.0000, 0.0000, 0.0000)  8 B 2.50

Calculated values
Energy relative to the elements, uncorrected, eV per atom: 2.81
ΔE to the lowest computed polymorph, eV/atom: 1.7576

***

Entry 3:
# Y8Tm2Th3

Y8Tm2Th3 after structural relaxation (PBE, the Alexandria database).

Lattice parameters (Å, degrees): 5.6005 7.8922 10.6752 111.69 90.03 90.00
Last column: nearest neighbours and their distance in Å.
Element x y z (fractional)
Y (0.0007, 0.6733, 0.3466)  2 Tm 3.30-3.31, 4 Y 3.48-3.49
Y (0.9993, 0.3267, 0.6534)  2 Tm 3.30-3.31, 4 Y 3.48-3.49
Y (0.9994, 0.1291, 0.2582)  4 Th 3.47-3.80, 2 Tm 3.54, 4 Y 3.67
Y (0.0006, 0.8709, 0.7418)  4 Th 3.47-3.80, 2 Tm 3.54, 4 Y 3.67
Y (0.4999, 0.5969, 0.7848)  3 Th 3.16-3.52, 3 Y 3.23-3.49, 2 Tm 3.46-3.49
Y (0.4999, 0.1879, 0.7848)  3 Th 3.16-3.52, 3 Y 3.23-3.49, 2 Tm 3.46-3.49
Y (0.5001, 0.8121, 0.2152)  3 Th 3.16-3.52, 3 Y 3.23-3.49, 2 Tm 3.46-3.49
Y (0.5001, 0.4031, 0.2152)  3 Th 3.16-3.52, 3 Y 3.23-3.49, 2 Tm 3.46-3.49
Tm (0.4990, 0.2382, 0.4765)  8 Y 3.30-3.54
Tm (0.5010, 0.7618, 0.5235)  8 Y 3.30-3.54
Th (0.5000, 0.0000, 0.0000)  4 Y 3.16
Th (0.0000, 0.2974, 0.0000)  1 Th 3.20, 6 Y 3.47-3.52
Th (0.0000, 0.7026, 0.0000)  1 Th 3.20, 6 Y 3.47-3.52

Calculated values
E_form, eV per formula unit: 3.61

***

Entry 4:
# Pm2HoEr2Sc2

Pm2HoEr2Sc2 after structural relaxation (PBE, the Alexandria database).

Lattice parameters (Å, degrees): 3.4209 5.9284 11.5403 72.08 90.00 106.77
Last column: nearest neighbours and their distance in Å.
Element x y z (fractional)
Pm (0.6723, 0.3446, 0.9105)  4 Er 3.39-3.54, 5 Pm 3.42-3.79, 2 Sc 3.53
Pm (0.3277, 0.6554, 0.0895)  4 Er 3.39-3.54, 5 Pm 3.42-3.79, 2 Sc 3.53
Ho (0.0000, 0.0000, 0.5000)  6 Sc 3.40-3.42, 4 Er 3.41, 2 Ho 3.42
Er (0.4545, 0.9090, 0.7665)  4 Pm 3.39-3.54, 3 Sc 3.41-3.46, 2 Ho 3.41, 2 Er 3.42
Er (0.5455, 0.0910, 0.2335)  4 Pm 3.39-3.54, 3 Sc 3.41-3.46, 2 Ho 3.41, 2 Er 3.42
Sc (0.7713, 0.5425, 0.3695)  4 Sc 3.36-3.42, 3 Ho 3.40-3.42, 3 Er 3.41-3.46, 2 Pm 3.53
Sc (0.2287, 0.4575, 0.6305)  4 Sc 3.36-3.42, 3 Ho 3.40-3.42, 3 Er 3.41-3.46, 2 Pm 3.53

Calculated values
E_form, eV per formula unit: 0.76

***

Copy entry 4 word for word.
# Pm2HoEr2Sc2

Pm2HoEr2Sc2 after structural relaxation (PBE, the Alexandria database).

Lattice parameters (Å, degrees): 3.4209 5.9284 11.5403 72.08 90.00 106.77
Last column: nearest neighbours and their distance in Å.
Element x y z (fractional)
Pm (0.6723, 0.3446, 0.9105)  4 Er 3.39-3.54, 5 Pm 3.42-3.79, 2 Sc 3.53
Pm (0.3277, 0.6554, 0.0895)  4 Er 3.39-3.54, 5 Pm 3.42-3.79, 2 Sc 3.53
Ho (0.0000, 0.0000, 0.5000)  6 Sc 3.40-3.42, 4 Er 3.41, 2 Ho 3.42
Er (0.4545, 0.9090, 0.7665)  4 Pm 3.39-3.54, 3 Sc 3.41-3.46, 2 Ho 3.41, 2 Er 3.42
Er (0.5455, 0.0910, 0.2335)  4 Pm 3.39-3.54, 3 Sc 3.41-3.46, 2 Ho 3.41, 2 Er 3.42
Sc (0.7713, 0.5425, 0.3695)  4 Sc 3.36-3.42, 3 Ho 3.40-3.42, 3 Er 3.41-3.46, 2 Pm 3.53
Sc (0.2287, 0.4575, 0.6305)  4 Sc 3.36-3.42, 3 Ho 3.40-3.42, 3 Er 3.41-3.46, 2 Pm 3.53

Calculated values
E_form, eV per formula unit: 0.76

***

Question: Number 4 is which compound?
Answer: Pm2HoEr2Sc2